## Cs11HgAu2 (PBE-GGA)

Data for Cs11HgAu2 after structural relaxation.

Cell lengths 14.9712, 14.9712, 14.9712 Å; angles 124.03, 106.29, 99.20 degrees
Closest atoms and distances in Å follow each position.
Fractional positions:
Cs  0.0000  0.0000  0.0000  2 Au 3.71
Cs  0.0521  0.4554  0.8164  1 Au 3.74
Cs  0.0732  0.8413  0.6609  1 Au 3.80, 1 Hg 3.97
Cs  0.1390  0.9554  0.4033  1 Au 3.74
Cs  0.1803  0.4123  0.3391  1 Au 3.80, 1 Hg 3.97
Cs  0.2223  0.8718  0.0941  2 Au 3.69-3.96
Cs  0.2777  0.3718  0.6495  2 Au 3.69-3.96
Cs  0.3197  0.6587  0.2319  1 Au 3.80, 1 Hg 3.97
Cs  0.3610  0.7643  0.8164  1 Au 3.74
Cs  0.4268  0.0877  0.7681  1 Au 3.80, 1 Hg 3.97
Cs  0.4479  0.2643  0.4033  1 Au 3.74
Cs  0.5000  0.5000  0.0000  2 Au 3.71
Cs  0.5521  0.7357  0.5967  1 Au 3.74
Cs  0.5732  0.9123  0.2319  1 Au 3.80, 1 Hg 3.97
Cs  0.6390  0.2357  0.1836  1 Au 3.74
Cs  0.6803  0.3413  0.7681  1 Au 3.80, 1 Hg 3.97
Cs  0.7223  0.6282  0.3505  2 Au 3.69-3.96
Cs  0.7777  0.1282  0.9059  2 Au 3.69-3.96
Cs  0.8197  0.5877  0.6609  1 Au 3.80, 1 Hg 3.97
Cs  0.8610  0.0446  0.5967  1 Au 3.74
Cs  0.9268  0.1587  0.3391  1 Au 3.80, 1 Hg 3.97
Cs  0.9479  0.5446  0.1836  1 Au 3.74
Hg  0.2500  0.7500  0.5000  8 Cs 3.97-4.43
Hg  0.7500  0.2500  0.5000  8 Cs 3.97-4.43
Au  0.1721  0.1462  0.3183  7 Cs 3.69-3.96
Au  0.3279  0.6462  0.9741  7 Cs 3.69-3.96
Au  0.6721  0.3538  0.0259  7 Cs 3.69-3.96
Au  0.8279  0.8538  0.6817  7 Cs 3.69-3.96

Summary:
Energy of formation in eV/f.u.: -1.38
E in eV per atom: -1.26
SG: Ibam, No. 72
Magnetic moment in μB per cell: 0.00